Density functional theory data (PBE) for a relaxed structure of TbPr2P3.

The value obtained for the magnetization is 0.0 μB per formula unit. The formation energy is -1532 meV per atom.

The structure belongs to space group I4/mmm (No. 139); the cell edges are 4.151, 4.151 and 17.589 Å and the angles 90.00°, 90.00° and 90.00°. The inequivalent atoms are Tb at (0.000, 0.000, 0.000), Pr at (0.000, 0.000, 0.334), P at (0.000, 0.000, 0.164) and P at (0.000, 0.000, 0.500).


Density functional theory data (PBE) for a relaxed structure of InReSi.

The total energy is -75.722 eV/cell. The value obtained for the magnetization is 0.0 μB per formula unit.

The structure belongs to space group F-43m (No. 216); the cell edges are 5.993, 5.993 and 5.993 Å and the angles 90.00°, 90.00° and 90.00°. The inequivalent atoms are In at (0.000, 0.000, 0.000), Re at (0.000, 0.000, 0.500) and Si at (0.250, 0.250, 0.750).